[1]
This record from the Alexandria database describes Co4IrRu after structural relaxation. The functional is PBE.

Cell: 6.6482 6.6482 6.6482 Å, 90.00 90.00 90.00°
Closest atoms and distances in Å follow each position.
Space group F-43m (No. 216)
Symmetry-distinct sites (fractional):
Co 0.1249 0.1249 0.1249  6 Co 2.35
Ir 0.2500 0.2500 0.7500  12 Co 2.76, 4 Ru 2.88
Ru 0.0000 0.0000 0.5000  12 Co 2.76, 4 Ir 2.88

## Properties
For the formation energy, the calculation gives 0.14 eV per atom.

[2]
This record from the Alexandria database describes Co2IrRu after structural relaxation. The functional is PBE.

Cell: 4.4685 2.6360 4.5931 Å, 90.00 110.25 90.00°
Closest atoms and distances in Å follow each position.
Space group P2/m (No. 10)
Symmetry-distinct sites (fractional):
Co 0.0000 0.0000 0.0000  2 Ir 2.59, 4 Ru 2.59, 6 Co 2.64-2.65
Co 0.0000 0.5000 0.5000  2 Ru 2.59, 4 Ir 2.59, 6 Co 2.64-2.65
Ir 0.5000 0.0000 0.5000  6 Co 2.59, 2 Ir 2.64, 4 Ru 2.65
Ru 0.5000 0.5000 0.0000  6 Co 2.59, 2 Ru 2.64, 4 Ir 2.65

## Properties
For the formation energy, the calculation gives 0.11 eV per atom.

[3]
This record from the Alexandria database describes Co2IrRu after structural relaxation. The functional is PBE.

Cell: 5.2661 7.2007 2.6372 Å, 90.00 90.00 90.00°
Closest atoms and distances in Å follow each position.
Space group Cmmm (No. 65)
Symmetry-distinct sites (fractional):
Co 0.2500 0.2500 0.0000  4 Ru 2.59, 4 Ir 2.59, 4 Co 2.63-2.64
Ir 0.0000 0.0000 0.5000  8 Co 2.59, 2 Ru 2.63, 2 Ir 2.64
Ru 0.0000 0.5000 0.5000  8 Co 2.59, 2 Ir 2.63, 2 Ru 2.64

## Properties
For the formation energy, the calculation gives 0.10 eV per atom.

[4]
This record from the Alexandria database describes CoIr3Ru after structural relaxation. The functional is PBE.

Cell: 9.8442 2.7305 10.2798 Å, 90.00 93.47 90.00°
Closest atoms and distances in Å follow each position.
Space group C2/m (No. 12)
Symmetry-distinct sites (fractional):
Co 0.1350 0.0000 0.4848  7 Ir 2.57-2.65, 5 Co 2.65-2.73
Ir 0.0326 0.5000 0.6732  4 Co 2.62-2.63, 7 Ir 2.67-2.77, 1 Ru 2.75
Ir 0.0675 0.0000 0.1183  5 Ru 2.66-2.72, 7 Ir 2.70-2.77
Ir 0.2347 0.5000 0.2908  3 Co 2.57-2.65, 7 Ir 2.67-2.73, 2 Ru 2.75
Ru 0.1670 0.5000 0.9156  8 Ir 2.66-2.75, 4 Ru 2.68-2.73

## Properties
As for the offset from the most stable computed form: 0 meV per atom. For the formation energy, the calculation gives 0.00 eV per atom.

[5]
This record from the Alexandria database describes CoIr2Ru after structural relaxation. The functional is PBE.

Cell: 5.3357 7.5170 2.6919 Å, 90.00 90.00 90.00°
Closest atoms and distances in Å follow each position.
Space group Cmmm (No. 65)
Symmetry-distinct sites (fractional):
Co 0.0000 0.0000 0.0000  2 Ru 2.67, 8 Ir 2.67, 2 Co 2.69
Ir 0.2500 0.2500 0.5000  4 Ir 2.67-2.69, 4 Co 2.67, 4 Ru 2.67
Ru 0.0000 0.5000 0.0000  2 Co 2.67, 8 Ir 2.67, 2 Ru 2.69

## Properties
For the formation energy, the calculation gives 0.05 eV per atom.

[6]
This record from the Alexandria database describes CoIr2Ru after structural relaxation. The functional is PBE.

Cell: 2.7056 2.7056 7.3844 Å, 90.00 90.00 90.00°
Closest atoms and distances in Å follow each position.
Space group P4mm (No. 99)
Symmetry-distinct sites (fractional):
Co 0.0000 0.0000 0.0000  4 Ir 2.60, 4 Ru 2.60, 4 Co 2.71
Ir 0.0000 0.0000 0.5047  4 Ru 2.69, 8 Ir 2.71-2.75
Ir 0.5000 0.5000 0.2376  4 Co 2.60, 8 Ir 2.71-2.75
Ru 0.5000 0.5000 0.7608  4 Co 2.60, 4 Ir 2.69, 4 Ru 2.71

## Properties
For the formation energy, the calculation gives 0.06 eV per atom.

[7]
This record from the Alexandria database describes CoIr6Ru after structural relaxation. The functional is PBE.

Cell: 7.6230 5.2970 6.8047 Å, 90.00 111.14 90.00°
Closest atoms and distances in Å follow each position.
Space group C2/m (No. 12)
Symmetry-distinct sites (fractional):
Co 0.0000 0.0000 0.0000  6 Ir 2.46-2.63
Ir 0.1359 0.5000 0.9237  7 Ir 2.63-2.74, 1 Co 2.63, 1 Ru 2.69
Ir 0.1962 0.2614 0.2972  1 Co 2.46, 5 Ir 2.53-2.74, 2 Ru 2.62-2.69
Ru 0.0000 0.5000 0.5000  10 Ir 2.62-2.69

## Properties
As for the offset from the most stable computed form: 477 meV per atom. For the formation energy, the calculation gives 0.46 eV per atom.

[8]
This record from the Alexandria database describes Co2Ir5Ru2 after structural relaxation. The functional is PBE.

Cell: 4.6251 4.6305 7.0782 Å, 71.18 71.44 60.12°
Closest atoms and distances in Å follow each position.
Space group P-1 (No. 2)
Symmetry-distinct sites (fractional):
Co 0.2258 0.0563 0.3307  2 Ru 2.65-2.67, 9 Ir 2.65-2.70, 1 Co 2.73
Ir 0.0000 0.5000 0.0000  6 Ru 2.66-2.69, 2 Co 2.67, 4 Ir 2.68-2.69
Ir 0.1076 0.2740 0.6670  6 Ir 2.64-2.71, 4 Co 2.65-2.69, 2 Ru 2.68
Ir 0.4383 0.6168 0.6662  6 Ir 2.64-2.71, 4 Co 2.66-2.70, 2 Ru 2.69
Ru 0.3359 0.8346 0.0010  3 Ru 2.63-2.70, 2 Co 2.65-2.67, 7 Ir 2.66-2.69

## Properties
As for the offset from the most stable computed form: 0 meV per atom. For the formation energy, the calculation gives 0.02 eV per atom.

- Among the records above, which one has the highest formation energy?
  CoIr6Ru